MnH2RuO: relaxed, GGA+U.

Summary:
electronic total energy	-26.30	eV for the cell shown

Cell lengths 3.4087, 3.4087, 4.1031 Å; angles 90.00, 90.00, 90.00 degrees
With the nearest neighbours (Å) after each atom.
Space group P4/mmm (No. 123)
Inequivalent atoms, fractional coordinates:
Mn: 0.0000 0.0000 0.0000 [1 per cell]  4 H 1.70
H: 0.0000 0.5000 0.0000 [2 per cell]  2 Mn 1.70
Ru: 0.5000 0.5000 0.5000 [1 per cell]  4 O 2.41, 8 H 2.67
O: 0.0000 0.0000 0.5000 [1 per cell]  2 Mn 2.05